i | An optimized crystal structure of Ga2FeAu. Source: Alexandria via LeMat-Bulk, functional GGA-PBE. Values from VASP.

Output
The value obtained for the volume is 58.9 Å³ per cell.

The structure in Quantum ESPRESSO input format:
```
&SYSTEM
  ibrav = 0, nat = 4, ntyp = 3
/
ATOMIC_SPECIES
Ga 69.72 Ga.upf
Fe 55.84 Fe.upf
Au 196.97 Au.upf
CELL_PARAMETERS angstrom
2.872 0.000 0.000
0.000 2.872 0.000
0.000 0.000 7.136
ATOMIC_POSITIONS angstrom
Ga 0.000 0.000 1.435
Ga 0.000 0.000 5.700
Fe 1.436 1.436 0.000
Au 1.436 1.436 3.568
```



ii | An optimized crystal structure of Ga2FeAu. Source: Alexandria via LeMat-Bulk, functional GGA-PBE. Values from VASP.

Output
The value obtained for the volume is 68.6 Å³ per cell.

The structure in Quantum ESPRESSO input format:
```
&SYSTEM
  ibrav = 0, nat = 4, ntyp = 3
/
ATOMIC_SPECIES
Ga 69.72 Ga.upf
Fe 55.84 Fe.upf
Au 196.97 Au.upf
CELL_PARAMETERS angstrom
1.437 0.830 9.588
-1.437 0.830 9.588
0.000 -1.659 9.588
ATOMIC_POSITIONS angstrom
Ga 0.000 0.000 2.455
Ga 0.000 0.000 26.310
Fe 0.000 0.000 0.000
Au 0.000 0.000 14.382
```



iii | An optimized crystal structure of Ga2FeAu. Source: Alexandria via LeMat-Bulk, functional GGA-PBE. Values from VASP.

Output
The value obtained for the volume is 60.1 Å³ per cell.

The structure in Quantum ESPRESSO input format:
```
&SYSTEM
  ibrav = 0, nat = 4, ntyp = 3
/
ATOMIC_SPECIES
Ga 69.72 Ga.upf
Fe 55.84 Fe.upf
Au 196.97 Au.upf
CELL_PARAMETERS angstrom
0.000 3.108 3.108
3.108 0.000 3.108
3.108 3.108 0.000
ATOMIC_POSITIONS angstrom
Ga 1.554 1.554 1.554
Ga 4.662 4.662 4.662
Fe 0.000 0.000 0.000
Au 3.108 3.108 3.108
```



iv | An optimized crystal structure of Ga2FeAu. Source: Alexandria via LeMat-Bulk, functional GGA-PBE. Values from VASP.

Output
The value obtained for the volume is 60.9 Å³ per cell.

The structure in Quantum ESPRESSO input format:
```
&SYSTEM
  ibrav = 0, nat = 4, ntyp = 3
/
ATOMIC_SPECIES
Ga 69.72 Ga.upf
Fe 55.84 Fe.upf
Au 196.97 Au.upf
CELL_PARAMETERS angstrom
1.458 0.842 8.265
-1.458 0.842 8.265
0.000 -1.684 8.265
ATOMIC_POSITIONS angstrom
Ga 0.000 0.000 0.000
Ga 0.000 0.000 4.606
Fe 0.000 0.000 14.704
Au 0.000 0.000 18.800
```



Stability ranking, top and bottom: i is the most stable and ii is the least stable.



i | An optimized crystal structure of Ga2FeAu. Source: Alexandria via LeMat-Bulk, functional GGA-PBE. Values from VASP.

Output
The value obtained for the volume is 60.7 Å³ per cell.

The structure in Quantum ESPRESSO input format:
```
&SYSTEM
  ibrav = 0, nat = 4, ntyp = 3
/
ATOMIC_SPECIES
Ga 69.72 Ga.upf
Fe 55.84 Fe.upf
Au 196.97 Au.upf
CELL_PARAMETERS angstrom
4.106 0.000 0.000
0.000 4.106 0.000
0.000 0.000 3.600
ATOMIC_POSITIONS angstrom
Ga 0.000 2.053 0.000
Ga 2.053 0.000 0.000
Fe 0.000 0.000 1.800
Au 2.053 2.053 1.800
```



ii | An optimized crystal structure of Ga2FeAu. Source: Alexandria via LeMat-Bulk, functional GGA-PBE. Values from VASP.

Output
The value obtained for the volume is 132.9 Å³ per cell.

The structure in Quantum ESPRESSO input format:
```
&SYSTEM
  ibrav = 0, nat = 8, ntyp = 3
/
ATOMIC_SPECIES
Ga 69.72 Ga.upf
Fe 55.84 Fe.upf
Au 196.97 Au.upf
CELL_PARAMETERS angstrom
-3.500 3.500 2.712
3.500 -3.500 2.712
3.500 3.500 -2.712
ATOMIC_POSITIONS angstrom
Ga 1.750 1.670 -0.678
Ga 1.830 -1.750 3.390
Ga 1.750 1.830 2.034
Ga 1.670 5.250 0.678
Fe 0.000 0.000 0.000
Fe 0.000 3.500 1.356
Au 3.500 0.000 1.356
Au 0.000 0.000 2.712
```



Stability ranking, top and bottom: i is the most stable and ii is the least stable.